No. 1
{
  "formula": "Zr3In2Co2",
  "functional": "PBE",
  "state": "optimized geometry",
  "lattice": [[3.540, 0.000, 0.470], [0.000, 3.451, 0.000], [0.341, 0.000, 11.000]],
  "species": ["Zr", "Zr", "Zr", "In", "In", "Co", "Co"],
  "fractional_positions": [[0.821, 0.000, 0.357], [0.000, 0.000, 0.000], [0.179, 0.000, 0.643], [0.587, 0.500, 0.825], [0.413, 0.500, 0.175], [0.714, 0.500, 0.572], [0.286, 0.500, 0.428]],
  "crystal_system": "orthorhombic",
  "e_form_ev_per_atom": -0.321,
  "spacegroup": "Cmmm, No. 65"
}

No. 2
{
  "formula": "K2SnI5",
  "functional": "PBE",
  "state": "optimized geometry",
  "lattice": [[-4.671, -1.715, -4.510], [0.035, -5.507, 6.942], [-8.196, 1.192, 3.152]],
  "species": ["K", "K", "Sn", "I", "I", "I", "I", "I"],
  "fractional_positions": [[0.680, 0.362, 0.135], [0.680, 0.865, 0.638], [0.061, 0.003, 0.997], [0.619, 0.995, 0.005], [0.069, 0.227, 0.231], [0.069, 0.769, 0.773], [0.821, 0.682, 0.318], [0.446, 0.320, 0.680]],
  "crystal_system": "monoclinic",
  "spacegroup": "Cm, No. 8",
  "raw_formation_energy_ev_per_fu": -7.3
}

Which calculated volume belongs to each record? In order, 19.11, 52.61 Å³ per atom.
Which M_tot belongs to each record? In order, 0.471, 0.000 μB per cell.